Below is crystalline BeCo2Ni at its relaxed geometry, with properties calculated at the PBE level.

Properties
Space group ... No. 139
DFT formation energy ... -0.07 eV/atom
Calculated density ... 7.57 g cm⁻³

```
data_BeCo2Ni
_chemical_formula_sum 'Be1 Co2 Ni1'
_symmetry_space_group_name_H-M 'P 1'
_symmetry_Int_Tables_number 1
_cell_length_a 4.2998
_cell_length_b 4.2998
_cell_length_c 4.2998
_cell_angle_alpha 133.83
_cell_angle_beta 133.83
_cell_angle_gamma 67.36
loop_
_symmetry_equiv_pos_as_xyz
'x,y,z'
loop_
_atom_site_label
_atom_site_type_symbol
_atom_site_fract_x
_atom_site_fract_y
_atom_site_fract_z
Be1 Be 0.0000 0.0000 0.0000
Co1 Co 0.2500 0.7500 0.5000
Co2 Co 0.7500 0.2500 0.5000
Ni1 Ni 0.5000 0.5000 0.0000
```